First-principles (PBE-GGA) data for AgRuI6 after structural relaxation, as listed in Alexandria. Values from VASP.

Cell and atoms, written as Quantum ESPRESSO input:
```
&SYSTEM
  ibrav = 0, nat = 8, ntyp = 3
/
ATOMIC_SPECIES
Ag 107.87 Ag.upf
Ru 101.07 Ru.upf
I 126.90 I.upf
CELL_PARAMETERS angstrom
3.9883 -5.7881 0.0000
3.9883 5.7881 0.0000
-1.6654 0.0000 6.8550
ATOMIC_POSITIONS angstrom
Ag 0.0000 0.0000 0.0000
Ru -0.8327 0.0000 3.4275
I 1.6649 3.8981 4.6530
I 0.8297 0.0000 5.5977
I 4.6464 3.8981 2.2020
I 1.6649 -3.8981 4.6530
I 5.4815 0.0000 1.2573
I 4.6464 -3.8981 2.2020
```

## Properties
The crystal system is monoclinic. For the total DFT energy (no corrections), the calculation gives -2.690 eV per atom. The calculation puts the uncorrected formation energy at -0.011 eV per atom. The value obtained for the total magnetization is 0.494 μB per cell.

---

First-principles (PBE-GGA) data for AgRuI2 after structural relaxation, as listed in Alexandria. Values from VASP.

Cell and atoms, written as Quantum ESPRESSO input:
```
&SYSTEM
  ibrav = 0, nat = 4, ntyp = 3
/
ATOMIC_SPECIES
Ag 107.87 Ag.upf
Ru 101.07 Ru.upf
I 126.90 I.upf
CELL_PARAMETERS angstrom
0.0000 3.5791 3.5791
3.5791 0.0000 3.5791
3.5791 3.5791 0.0000
ATOMIC_POSITIONS angstrom
Ag 0.0000 0.0000 0.0000
Ru 3.5791 3.5791 3.5791
I 1.7896 1.7896 1.7896
I 5.3687 5.3687 5.3687
```

## Properties
The crystal system is cubic. For the total DFT energy (no corrections), the calculation gives -2.998 eV per atom. The calculation puts the uncorrected formation energy at 0.809 eV per atom. The value obtained for the total magnetization is 0.989 μB per cell.

---

First-principles (PBE-GGA) data for Ag2RuI after structural relaxation, as listed in Alexandria. Values from VASP.

Cell and atoms, written as Quantum ESPRESSO input:
```
&SYSTEM
  ibrav = 0, nat = 8, ntyp = 3
/
ATOMIC_SPECIES
Ag 107.87 Ag.upf
Ru 101.07 Ru.upf
I 126.90 I.upf
CELL_PARAMETERS angstrom
-4.0395 4.0395 2.6746
4.0395 -4.0395 2.6746
4.0395 4.0395 -2.6746
ATOMIC_POSITIONS angstrom
Ag 2.0197 1.7832 -0.6686
Ag 2.2563 -2.0197 3.3432
Ag 2.0197 2.2563 2.0059
Ag 1.7832 6.0592 0.6686
Ru 0.0000 0.0000 0.0000
Ru 0.0000 4.0395 1.3373
I 4.0395 0.0000 1.3373
I 0.0000 0.0000 2.6746
```

## Properties
The crystal system is tetragonal. For the total DFT energy (no corrections), the calculation gives -3.309 eV per atom. The calculation puts the uncorrected formation energy at 0.823 eV per atom. The value obtained for the total magnetization is 2.205 μB per cell.

---

First-principles (PBE-GGA) data for AgSbRuI2 after structural relaxation, as listed in Alexandria. Values from VASP.

Cell and atoms, written as Quantum ESPRESSO input:
```
&SYSTEM
  ibrav = 0, nat = 5, ntyp = 4
/
ATOMIC_SPECIES
Ag 107.87 Ag.upf
Sb 121.76 Sb.upf
Ru 101.07 Ru.upf
I 126.90 I.upf
CELL_PARAMETERS angstrom
5.5797 0.0000 0.0000
0.0000 5.5797 0.0000
0.0000 0.0000 4.9679
ATOMIC_POSITIONS angstrom
Ag 0.0000 0.0000 0.0000
Sb 2.7898 2.7898 0.0000
Ru 2.7898 2.7898 2.4840
I 0.0000 2.7898 2.4840
I 2.7898 0.0000 2.4840
```

## Properties
The crystal system is tetragonal. For the total DFT energy (no corrections), the calculation gives -3.348 eV per atom. The calculation puts the uncorrected formation energy at 0.522 eV per atom. The value obtained for the total magnetization is 0.000 μB per cell.